Entry from Alexandria: a relaxed CoRuN2F crystal (GGA+U).

Values from the calculation:
For the distance to the lowest polymorph of the same formula, the calculation gives 0 meV per atom. The density comes out at 5532 kg/m³. The total magnetization comes out at 2.87 μB/f.u.

abc: 3.806 3.806 4.290
angles: 90.00 90.00 90.00
Atoms (fractional coordinates):
Ru (0.000, 0.000, 0.000)
N (0.000, 0.500, 0.000)
N (0.500, 0.000, 0.000)
Co (0.500, 0.500, 0.500)
F (0.000, 0.000, 0.500)